No. 1
Entry from Alexandria via LeMat-Bulk: crystalline Fe2IN at its relaxed geometry (PBE).

abc: 6.2156 6.2156 6.2156
angles: 134.70 134.70 66.00
Atoms (fractional coordinates):
Fe 0.3750 0.2430 0.3680
Fe 0.7570 0.1250 0.1320
Fe 0.8750 0.0070 0.6320
Fe 0.9930 0.6250 0.8680
I 0.2500 0.7500 0.5000
I 0.5000 0.5000 0.0000
N 0.0000 0.0000 0.0000
N 0.7500 0.2500 0.5000

Summary:
- symmetry = I-42d

---

No. 2
Entry from Alexandria via LeMat-Bulk: crystalline NbFeIN2 at its relaxed geometry (PBE).

abc: 3.9662 3.9662 5.8299
angles: 90.00 90.00 90.00
Atoms (fractional coordinates):
Nb 0.0000 0.0000 0.0000
Fe 0.5000 0.5000 0.5000
I 0.0000 0.0000 0.5000
N 0.0000 0.5000 0.0000
N 0.5000 0.0000 0.0000

Summary:
- symmetry = P4/mmm

---

No. 3
Entry from Alexandria via LeMat-Bulk: crystalline NbFeIN2 at its relaxed geometry (PBE).

abc: 3.8625 3.8625 5.1406
angles: 90.00 90.00 90.00
Atoms (fractional coordinates):
Nb 0.0000 0.0000 0.0000
Fe 0.5000 0.5000 0.5000
I 0.5000 0.5000 0.0000
N 0.0000 0.5000 0.5000
N 0.5000 0.0000 0.5000

Summary:
- symmetry = P4/mmm

---

No. 4
Entry from Alexandria via LeMat-Bulk: crystalline NbFeI2N at its relaxed geometry (PBE).

abc: 5.7408 5.7408 3.9135
angles: 90.00 90.00 90.00
Atoms (fractional coordinates):
Nb 0.0000 0.0000 0.0000
Fe 0.5000 0.5000 0.5000
I 0.0000 0.5000 0.0000
I 0.5000 0.0000 0.0000
N 0.0000 0.0000 0.5000

Summary:
- symmetry = P4/mmm

---

Number 1: spin magnetization 1.986 μB/f.u., formation energy from raw total energies 0.36 eV per atom, energy relative to the lowest polymorph listed for this composition 0.000 eV per atom. Number 2: spin magnetization 3.426 μB/f.u., formation energy from raw total energies 0.79 eV per atom, energy relative to the lowest polymorph listed for this composition 0.000 eV per atom. Number 3: spin magnetization 3.229 μB/f.u., formation energy from raw total energies 1.37 eV per atom, energy relative to the lowest polymorph listed for this composition 0.575 eV per atom. Number 4: spin magnetization 4.313 μB/f.u., formation energy from raw total energies 0.59 eV per atom, energy relative to the lowest polymorph listed for this composition 0.000 eV per atom.